The following is a DFT calculation (GGA-PBE) of a relaxed structure of DyScSbSe.

```
DyScSbSe
1.0
-3.316 -2.314 -0.290
3.662 -1.620 -0.630
1.479 0.523 7.253
Dy Sc Se Sb
1 1 1 1
Direct
0.958 0.377 0.351
0.316 0.556 0.888
0.122 0.959 0.097
0.481 0.138 0.634
```

Output
Crystal system = trigonal
Symmetry = No. 160
V = 25.06 Å³/atom

=====

The following is a DFT calculation (GGA-PBE) of a relaxed structure of SmDy2ScSb4.

```
SmDy2ScSb4
1.0
-1.361 2.179 -3.524
-6.508 1.560 3.479
5.003 5.466 1.447
Sb Dy Sm Sc
4 2 1 1
Direct
0.000 0.759 0.249
0.500 0.762 0.758
0.000 0.241 0.751
0.500 0.238 0.242
0.500 0.000 0.500
0.000 0.500 0.500
0.500 0.500 0.000
0.000 0.000 0.000
```

Output
Crystal system = monoclinic
Symmetry = No. 10
V = 29.26 Å³/atom

=====

The following is a DFT calculation (GGA-PBE) of a relaxed structure of Sm2DyScSb4.

```
Sm2DyScSb4
1.0
4.382 0.000 0.000
0.000 7.584 0.130
0.000 -2.653 7.094
Sb Dy Sm Sc
4 1 2 1
Direct
0.500 0.238 0.235
0.000 0.247 0.761
0.500 0.762 0.765
0.000 0.753 0.239
0.500 0.500 0.000
0.000 0.500 0.500
0.500 0.000 0.500
0.000 0.000 0.000
```

Output
Crystal system = monoclinic
Symmetry = No. 10
V = 29.66 Å³/atom

=====

The following is a DFT calculation (GGA-PBE) of a relaxed structure of SmDySc2Sb4.

```
SmDySc2Sb4
1.0
4.304 0.000 0.000
0.000 7.452 0.128
0.000 -2.605 6.958
Sc Sb Dy Sm
2 4 1 1
Direct
0.500 0.000 0.500
0.000 0.500 0.500
0.500 0.253 0.267
0.000 0.759 0.269
0.500 0.747 0.733
0.000 0.241 0.731
0.000 0.000 0.000
0.500 0.500 0.000
```

Output
Crystal system = monoclinic
Symmetry = No. 10
V = 28.08 Å³/atom

=====

| no. | formation energy (no corrections) (eV per formula unit) | DOS(E_F) (states/eV/atom) | VASP energy (eV/cell) |
| --- | --- | --- | --- |
| 1 | -5.22 | 0.6647 | -23.76 |
| 2 | -8.60 | 0.1490 | -45.34 |
| 3 | -8.73 | 0.1502 | -45.59 |
| 4 | -8.29 | 0.1654 | -46.76 |